# 1
A plane-wave DFT calculation with PBE+U was carried out for a relaxed structure of K2CoP4H10O17.

Its density of states at the Fermi level is 0.00 states/eV per atom. The value obtained for the final energy is -0.438 Ry/atom.

a = 16.414 Å, b = 7.503 Å, c = 12.993 Å
α = 88.88°, β = 90.00°, γ = 90.00°
Last column: magnetic moment on the atom in μB.
Element x y z (fractional)
K 0.225 0.969 0.929  0.00
K 0.275 0.469 0.929  0.00
K 0.658 0.772 0.606  0.00
K 0.842 0.272 0.606  0.00
K 0.158 0.728 0.394  0.00
K 0.342 0.228 0.394  0.00
K 0.725 0.531 0.071  0.00
K 0.775 0.031 0.071  0.00
Co 0.500 0.500 0.000  2.74
Co 0.000 0.000 0.000  2.74
Co 0.500 0.500 0.500  0.87
Co 0.000 0.000 0.500  0.87
P 0.880 0.735 0.869  0.00
P 0.056 0.648 0.865  0.00
P 0.620 0.235 0.869  0.00
P 0.444 0.148 0.865  0.00
P 0.879 0.743 0.639  0.00
P 0.053 0.650 0.637  0.00
P 0.621 0.243 0.639  0.00
P 0.447 0.150 0.637  0.00
P 0.553 0.850 0.363  0.00
P 0.379 0.757 0.361  0.00
P 0.947 0.350 0.363  0.00
P 0.121 0.257 0.361  0.00
P 0.556 0.852 0.135  0.00
P 0.380 0.765 0.131  0.00
P 0.944 0.352 0.135  0.00
P 0.120 0.265 0.131  0.00
H 0.467 0.771 0.871  0.00
H 0.033 0.271 0.871  0.00
H 0.558 0.703 0.852  0.00
H 0.942 0.203 0.852  0.00
H 0.669 0.892 0.842  0.00
H 0.705 0.700 0.838  0.00
H 0.831 0.392 0.842  0.00
H 0.795 0.200 0.838  0.00
H 0.335 0.819 0.786  0.00
H 0.165 0.319 0.786  0.00
H 0.279 0.701 0.714  0.00
H 0.221 0.201 0.714  0.00
H 0.482 0.623 0.704  0.00
H 0.018 0.123 0.704  0.00
H 0.452 0.776 0.627  0.00
H 0.048 0.276 0.627  0.00
H 0.221 0.526 0.594  0.00
H 0.279 0.026 0.594  0.00
H 0.307 0.588 0.550  0.00
H 0.193 0.088 0.550  0.00
H 0.807 0.912 0.450  0.00
H 0.693 0.412 0.450  0.00
H 0.721 0.974 0.406  0.00
H 0.779 0.474 0.406  0.00
H 0.952 0.724 0.373  0.00
H 0.548 0.224 0.373  0.00
H 0.982 0.877 0.296  0.00
H 0.518 0.377 0.296  0.00
H 0.779 0.799 0.286  0.00
H 0.721 0.299 0.286  0.00
H 0.835 0.681 0.214  0.00
H 0.665 0.181 0.214  0.00
H 0.205 0.800 0.162  0.00
H 0.169 0.608 0.158  0.00
H 0.295 0.300 0.162  0.00
H 0.331 0.108 0.158  0.00
H 0.058 0.797 0.148  0.00
H 0.442 0.297 0.148  0.00
H 0.967 0.729 0.129  0.00
H 0.533 0.229 0.129  0.00
O 0.892 0.882 0.944  0.02
O 0.608 0.382 0.944  0.02
O 0.076 0.798 0.935  0.02
O 0.424 0.298 0.935  0.02
O 0.401 0.973 0.877  0.00
O 0.807 0.617 0.880  0.00
O 0.099 0.473 0.877  0.00
O 0.693 0.117 0.880  0.00
O 0.959 0.603 0.869  0.00
O 0.500 0.662 0.862  0.03
O 0.541 0.103 0.869  0.00
O 0.000 0.162 0.862  0.03
O 0.656 0.770 0.820  0.00
O 0.844 0.270 0.820  0.00
O 0.288 0.738 0.787  0.00
O 0.212 0.238 0.787  0.00
O 0.885 0.827 0.754  0.00
O 0.068 0.732 0.750  0.00
O 0.615 0.327 0.754  0.00
O 0.432 0.232 0.750  0.00
O 0.956 0.605 0.638  0.00
O 0.403 0.977 0.624  0.00
O 0.805 0.632 0.628  0.00
O 0.486 0.666 0.632  0.02
O 0.544 0.105 0.638  0.00
O 0.097 0.477 0.624  0.00
O 0.695 0.132 0.628  0.00
O 0.014 0.166 0.632  0.02
O 0.259 0.627 0.589  0.00
O 0.895 0.898 0.566  -0.01
O 0.241 0.127 0.589  0.00
O 0.605 0.398 0.566  -0.01
O 0.070 0.801 0.562  0.00
O 0.430 0.301 0.562  0.00
O 0.570 0.699 0.438  0.00
O 0.930 0.199 0.438  0.00
O 0.395 0.602 0.434  -0.01
O 0.759 0.873 0.411  0.00
O 0.105 0.102 0.434  -0.01
O 0.741 0.373 0.411  0.00
O 0.986 0.834 0.368  0.02
O 0.305 0.868 0.372  0.00
O 0.903 0.523 0.376  0.00
O 0.456 0.895 0.362  0.00
O 0.514 0.334 0.368  0.02
O 0.195 0.368 0.372  0.00
O 0.597 0.023 0.376  0.00
O 0.044 0.395 0.362  0.00
O 0.568 0.768 0.250  0.00
O 0.385 0.673 0.246  0.00
O 0.932 0.268 0.250  0.00
O 0.115 0.173 0.246  0.00
O 0.788 0.762 0.213  0.00
O 0.712 0.262 0.213  0.00
O 0.156 0.730 0.180  0.00
O 0.344 0.230 0.180  0.00
O 0.000 0.838 0.138  0.03
O 0.459 0.897 0.131  0.00
O 0.500 0.338 0.138  0.03
O 0.041 0.397 0.131  0.00
O 0.307 0.883 0.120  0.00
O 0.901 0.527 0.123  0.00
O 0.193 0.383 0.120  0.00
O 0.599 0.027 0.123  0.00
O 0.576 0.702 0.065  0.02
O 0.924 0.202 0.065  0.02
O 0.392 0.618 0.056  0.02
O 0.108 0.118 0.056  0.02


# 2
A plane-wave DFT calculation with PBE+U was carried out for a relaxed structure of K2CoP4H8O16.

Its density of states at the Fermi level is 0.00 states/eV per atom. The value obtained for the final energy is -0.448 Ry/atom.

a = 9.768 Å, b = 11.182 Å, c = 13.738 Å
α = 90.00°, β = 90.00°, γ = 90.00°
Last column: magnetic moment on the atom in μB.
Element x y z (fractional)
K 0.066 0.250 0.599  0.00
K 0.252 0.250 0.123  0.00
K 0.248 0.750 0.623  0.00
K 0.434 0.750 0.099  0.00
K 0.566 0.250 0.901  0.00
K 0.752 0.250 0.377  0.00
K 0.748 0.750 0.877  0.00
K 0.934 0.750 0.401  0.00
Co 0.162 0.250 0.860  2.76
Co 0.338 0.750 0.360  2.76
Co 0.662 0.250 0.640  2.76
Co 0.838 0.750 0.140  2.76
P 0.053 0.517 0.780  0.00
P 0.053 0.983 0.780  0.00
P 0.249 0.016 0.441  0.00
P 0.249 0.484 0.441  0.00
P 0.251 0.516 0.941  0.00
P 0.251 0.984 0.941  0.00
P 0.447 0.483 0.280  0.00
P 0.447 0.017 0.280  0.00
P 0.553 0.517 0.720  0.00
P 0.553 0.983 0.720  0.00
P 0.749 0.016 0.059  0.00
P 0.749 0.484 0.059  0.00
P 0.751 0.516 0.559  0.00
P 0.751 0.984 0.559  0.00
P 0.947 0.017 0.220  0.00
P 0.947 0.483 0.220  0.00
H 0.046 0.679 0.023  0.00
H 0.046 0.821 0.023  0.00
H 0.042 0.081 0.392  0.00
H 0.042 0.419 0.392  0.00
H 0.106 0.017 0.104  0.00
H 0.106 0.483 0.104  0.00
H 0.131 0.682 0.232  0.00
H 0.131 0.818 0.232  0.00
H 0.369 0.182 0.732  0.00
H 0.369 0.318 0.732  0.00
H 0.394 0.517 0.604  0.00
H 0.394 0.983 0.604  0.00
H 0.458 0.581 0.892  0.00
H 0.458 0.919 0.892  0.00
H 0.454 0.179 0.523  0.00
H 0.454 0.321 0.523  0.00
H 0.546 0.821 0.477  0.00
H 0.546 0.679 0.477  0.00
H 0.542 0.081 0.108  0.00
H 0.542 0.419 0.108  0.00
H 0.606 0.017 0.396  0.00
H 0.606 0.483 0.396  0.00
H 0.631 0.818 0.268  0.00
H 0.631 0.682 0.268  0.00
H 0.869 0.182 0.768  0.00
H 0.869 0.318 0.768  0.00
H 0.894 0.517 0.896  0.00
H 0.894 0.983 0.896  0.00
H 0.958 0.919 0.608  0.00
H 0.958 0.581 0.608  0.00
H 0.954 0.179 0.977  0.00
H 0.954 0.321 0.977  0.00
O 0.015 0.250 0.971  0.03
O 0.048 0.119 0.780  0.02
O 0.048 0.381 0.780  0.02
O 0.073 0.069 0.162  0.00
O 0.073 0.431 0.162  0.00
O 0.063 0.577 0.682  0.00
O 0.063 0.923 0.682  0.00
O 0.114 0.090 0.449  0.00
O 0.114 0.410 0.449  0.00
O 0.156 0.557 0.022  0.00
O 0.156 0.943 0.022  0.00
O 0.189 0.561 0.837  0.00
O 0.189 0.939 0.837  0.00
O 0.194 0.750 0.240  0.02
O 0.222 0.618 0.434  0.03
O 0.222 0.882 0.434  0.03
O 0.278 0.118 0.934  0.03
O 0.278 0.382 0.934  0.03
O 0.306 0.250 0.740  0.02
O 0.311 0.061 0.337  0.00
O 0.311 0.439 0.337  0.00
O 0.344 0.057 0.522  0.00
O 0.344 0.443 0.522  0.00
O 0.386 0.590 0.949  0.00
O 0.386 0.910 0.949  0.00
O 0.437 0.423 0.182  0.00
O 0.437 0.077 0.182  0.00
O 0.427 0.569 0.662  0.00
O 0.427 0.931 0.662  0.00
O 0.452 0.619 0.280  0.02
O 0.452 0.881 0.280  0.02
O 0.485 0.750 0.471  0.03
O 0.515 0.250 0.529  0.03
O 0.548 0.119 0.720  0.02
O 0.548 0.381 0.720  0.02
O 0.573 0.069 0.338  0.00
O 0.573 0.431 0.338  0.00
O 0.563 0.577 0.818  0.00
O 0.563 0.923 0.818  0.00
O 0.614 0.090 0.051  0.00
O 0.614 0.410 0.051  0.00
O 0.656 0.557 0.478  0.00
O 0.656 0.943 0.478  0.00
O 0.689 0.561 0.663  0.00
O 0.689 0.939 0.663  0.00
O 0.694 0.750 0.260  0.02
O 0.722 0.618 0.066  0.03
O 0.722 0.882 0.066  0.03
O 0.778 0.118 0.566  0.03
O 0.778 0.382 0.566  0.03
O 0.806 0.250 0.760  0.02
O 0.811 0.061 0.163  0.00
O 0.811 0.439 0.163  0.00
O 0.844 0.057 0.978  0.00
O 0.844 0.443 0.978  0.00
O 0.886 0.590 0.551  0.00
O 0.886 0.910 0.551  0.00
O 0.937 0.077 0.318  0.00
O 0.937 0.423 0.318  0.00
O 0.927 0.569 0.838  0.00
O 0.927 0.931 0.838  0.00
O 0.952 0.619 0.220  0.02
O 0.952 0.881 0.220  0.02
O 0.985 0.750 0.029  0.03


# 3
A plane-wave DFT calculation with PBE+U was carried out for a relaxed structure of K2CoP4H8O16.

Its density of states at the Fermi level is 0.00 states/eV per atom. The value obtained for the final energy is -0.449 Ry/atom.

a = 6.997 Å, b = 7.487 Å, c = 7.630 Å
α = 80.84°, β = 73.63°, γ = 84.24°
Last column: magnetic moment on the atom in μB.
Element x y z (fractional)
K 0.124 0.743 0.297  0.00
K 0.876 0.257 0.703  0.00
Co 0.500 0.500 0.500  2.76
P 0.677 0.731 0.757  0.00
P 0.323 0.269 0.243  0.00
P 0.255 0.811 0.759  0.00
P 0.745 0.189 0.241  0.00
H 0.750 0.951 0.521  0.00
H 0.250 0.049 0.479  0.00
H 0.951 0.732 0.924  0.00
H 0.049 0.268 0.076  0.00
H 0.370 0.320 0.855  0.00
H 0.630 0.680 0.145  0.00
H 0.381 0.185 0.711  0.00
H 0.619 0.815 0.289  0.00
O 0.441 0.773 0.851  0.00
O 0.559 0.227 0.149  0.00
O 0.702 0.599 0.619  0.02
O 0.298 0.401 0.381  0.02
O 0.762 0.668 0.919  0.00
O 0.238 0.332 0.081  0.00
O 0.764 0.918 0.656  0.00
O 0.236 0.082 0.344  0.00
O 0.265 0.677 0.626  0.02
O 0.735 0.323 0.374  0.02
O 0.080 0.780 0.939  0.00
O 0.920 0.220 0.061  0.00
O 0.255 0.010 0.672  0.00
O 0.745 0.990 0.328  0.00
O 0.442 0.293 0.728  0.03
O 0.558 0.707 0.272  0.03


# 4
A plane-wave DFT calculation with PBE+U was carried out for a relaxed structure of K2CoH2S2O10.

Its density of states at the Fermi level is 0.00 states/eV per atom. The value obtained for the energy above the lowest structure with this stoichiometry is 0.277 eV per atom.

a = 4.806 Å, b = 7.087 Å, c = 9.301 Å
α = 99.29°, β = 80.21°, γ = 119.80°
Last column: magnetic moment on the atom in μB.
Element x y z (fractional)
H 0.434 0.008 0.490  0.00
H 0.566 0.992 0.510  0.00
K 0.344 0.656 0.240  0.00
K 0.656 0.344 0.760  0.00
Co 0.000 0.000 0.000  2.69
S 0.526 0.230 0.204  0.01
S 0.474 0.770 0.796  0.01
O 0.034 0.864 0.157  0.07
O 0.966 0.136 0.843  0.07
O 0.753 0.144 0.165  0.02
O 0.247 0.856 0.835  0.02
O 0.382 0.596 0.678  0.01
O 0.618 0.404 0.322  0.01
O 0.441 0.281 0.075  0.02
O 0.559 0.719 0.925  0.02
O 0.190 0.037 0.277  0.00
O 0.810 0.963 0.723  0.00


# 5
A plane-wave DFT calculation with PBE+U was carried out for a relaxed structure of K2CoH2S2O10.

The value obtained for the energy above the lowest structure with this stoichiometry is 0.000 eV per atom.

a = 5.267 Å, b = 6.633 Å, c = 7.361 Å
α = 103.91°, β = 94.80°, γ = 105.38°
Last column: magnetic moment on the atom in μB.
Element x y z (fractional)
K 0.296 0.661 0.279  0.00
K 0.704 0.339 0.721  0.00
Co 0.000 0.000 0.000  2.38
H 0.877 0.994 0.290  0.01
H 0.123 0.006 0.710  0.01
S 0.647 0.265 0.221  0.01
S 0.353 0.735 0.779  0.01
O 0.004 0.931 0.220  0.16
O 0.996 0.069 0.780  0.16
O 0.876 0.250 0.103  0.01
O 0.124 0.750 0.897  0.01
O 0.271 0.512 0.657  -0.02
O 0.729 0.488 0.343  -0.02
O 0.403 0.226 0.085  0.03
O 0.597 0.774 0.915  0.03
O 0.619 0.102 0.331  0.00
O 0.381 0.898 0.669  0.00


# 6
A plane-wave DFT calculation with PBE+U was carried out for a relaxed structure of K2CoH4Se2O10.

Its density of states at the Fermi level is 0.00 states/eV per atom. The value obtained for the final energy is -0.382 Ry/atom.

a = 5.642 Å, b = 6.690 Å, c = 7.767 Å
α = 113.22°, β = 96.81°, γ = 104.18°
Last column: magnetic moment on the atom in μB.
Element x y z (fractional)
K 0.268 0.690 0.263  0.00
K 0.732 0.310 0.737  0.00
Co 0.000 0.000 0.000  2.74
H 0.852 0.838 0.616  0.00
H 0.148 0.162 0.384  0.00
H 0.138 0.968 0.696  0.00
H 0.862 0.032 0.304  0.00
Se 0.369 0.690 0.776  0.01
Se 0.631 0.310 0.224  0.01
O 0.160 0.729 0.916  0.03
O 0.840 0.271 0.084  0.03
O 0.650 0.743 0.917  0.03
O 0.350 0.257 0.083  0.03
O 0.390 0.864 0.667  0.00
O 0.610 0.136 0.333  0.00
O 0.271 0.414 0.619  0.01
O 0.729 0.586 0.381  0.01
O 0.971 0.984 0.718  0.03
O 0.029 0.016 0.282  0.03